w) TbSm6Dy4 | PBE | optimized geometry

Cell: 7.519 7.519 8.614 Å, 115.88 115.88 90.00°
Element x y z (fractional)
Dy (0.085, 0.754, 0.840)
Sm (0.459, 0.916, 0.375)
Sm (0.541, 0.541, 0.625)
Sm (0.000, 0.500, 0.000)
Sm (0.084, 0.084, 0.625)
Sm (0.916, 0.459, 0.375)
Sm (0.500, 0.000, 0.000)
Dy (0.915, 0.915, 0.160)
Dy (0.246, 0.246, 0.160)
Dy (0.754, 0.085, 0.840)
Tb (0.500, 0.500, 0.000)

Values from the calculation:
density of states at the Fermi level: 14.49 states/eV/cell


x) TbSm6Dy4 | PBE | optimized geometry

Cell: 5.835 5.638 25.691 Å, 90.00 90.00 121.17°
Element x y z (fractional)
Tb (0.214, 0.428, 0.750)
Sm (0.880, 0.759, 0.818)
Dy (0.852, 0.703, 0.956)
Tb (0.786, 0.572, 0.250)
Dy (0.453, 0.906, 0.123)
Sm (0.796, 0.593, 0.397)
Dy (0.852, 0.703, 0.544)
Dy (0.148, 0.297, 0.456)
Sm (0.204, 0.407, 0.897)
Sm (0.204, 0.407, 0.603)
Dy (0.148, 0.297, 0.044)
Sm (0.120, 0.241, 0.318)
Sm (0.796, 0.593, 0.103)
Sm (0.552, 0.104, 0.750)
Sm (0.880, 0.759, 0.682)
Dy (0.547, 0.094, 0.623)
Dy (0.547, 0.094, 0.877)
Sm (0.448, 0.896, 0.250)
Sm (0.500, 0.000, 0.500)
Dy (0.453, 0.906, 0.377)
Sm (0.500, 0.000, 0.000)
Sm (0.120, 0.241, 0.182)

Values from the calculation:
density of states at the Fermi level: 38.80 states/eV/cell


Which one is most stable, and which one is least stable? x) is the most stable of them, while w) is the least stable.


w) Tb4Sm6Dy | PBE | optimized geometry

Cell: 5.850 5.644 25.690 Å, 90.00 90.00 121.22°
Element x y z (fractional)
Sm (0.881, 0.762, 0.818)
Tb (0.853, 0.705, 0.544)
Sm (0.204, 0.409, 0.897)
Sm (0.119, 0.238, 0.318)
Tb (0.147, 0.295, 0.456)
Sm (0.500, 0.000, 0.000)
Sm (0.796, 0.591, 0.397)
Tb (0.548, 0.097, 0.623)
Tb (0.452, 0.903, 0.377)
Dy (0.216, 0.432, 0.750)
Sm (0.554, 0.108, 0.750)
Tb (0.147, 0.295, 0.044)
Sm (0.446, 0.892, 0.250)
Sm (0.500, 0.000, 0.500)
Tb (0.452, 0.903, 0.123)
Sm (0.881, 0.762, 0.682)
Tb (0.548, 0.097, 0.877)
Sm (0.796, 0.591, 0.103)
Tb (0.853, 0.705, 0.956)
Sm (0.119, 0.238, 0.182)
Dy (0.784, 0.568, 0.250)
Sm (0.204, 0.409, 0.603)

Values from the calculation:
density of states at the Fermi level: 38.61 states/eV/cell


x) Tb4Sm6Dy | PBE | optimized geometry

Cell: 7.538 7.538 8.609 Å, 115.96 115.96 90.00°
Element x y z (fractional)
Tb (0.753, 0.087, 0.841)
Tb (0.247, 0.247, 0.159)
Sm (0.000, 0.500, 0.000)
Sm (0.084, 0.084, 0.625)
Sm (0.459, 0.916, 0.375)
Dy (0.500, 0.500, 0.000)
Tb (0.087, 0.753, 0.841)
Sm (0.500, 0.000, 0.000)
Tb (0.913, 0.913, 0.159)
Sm (0.916, 0.459, 0.375)
Sm (0.541, 0.541, 0.625)

Values from the calculation:
density of states at the Fermi level: 13.64 states/eV/cell


Which one is most stable, and which one is least stable? w) is the most stable of them, while x) is the least stable.


w) Tb5Sm2Dy3 | PBE | optimized geometry

Cell: 6.806 12.302 12.302 Å, 44.72 73.94 73.94°
Element x y z (fractional)
Dy (0.376, 0.374, 0.874)
Dy (0.750, 0.000, 0.000)
Sm (0.125, 0.776, 0.974)
Tb (0.000, 0.750, 0.750)
Tb (0.125, 0.467, 0.283)
Tb (0.750, 0.500, 0.500)
Tb (0.625, 0.283, 0.467)
Dy (0.250, 0.000, 0.000)
Tb (0.500, 0.750, 0.750)
Tb (0.000, 0.250, 0.250)
Tb (0.250, 0.500, 0.500)
Sm (0.375, 0.026, 0.224)
Sm (0.625, 0.974, 0.776)
Tb (0.875, 0.533, 0.717)
Sm (0.875, 0.224, 0.026)
Dy (0.876, 0.874, 0.374)
Tb (0.375, 0.717, 0.533)
Tb (0.500, 0.250, 0.250)
Dy (0.124, 0.126, 0.626)
Dy (0.624, 0.626, 0.126)

Values from the calculation:
density of states at the Fermi level: 30.41 states/eV/cell


x) Tb5Sm2Dy3 | PBE | optimized geometry

Cell: 9.439 9.479 11.148 Å, 125.47 125.39 68.51°
Element x y z (fractional)
Sm (0.466, 0.733, 0.746)
Tb (0.019, 0.769, 0.538)
Dy (0.268, 0.538, 0.758)
Dy (0.990, 0.221, 0.758)
Tb (0.525, 0.275, 0.549)
Tb (0.981, 0.231, 0.462)
Tb (0.603, 0.850, 0.240)
Dy (0.228, 0.978, 0.956)
Tb (0.137, 0.391, 0.240)
Tb (0.279, 0.529, 0.057)
Dy (0.772, 0.022, 0.044)
Tb (0.721, 0.471, 0.943)
Tb (0.475, 0.725, 0.451)
Tb (0.397, 0.150, 0.760)
Dy (0.010, 0.779, 0.242)
Dy (0.732, 0.462, 0.242)
Sm (0.220, 0.987, 0.254)
Sm (0.534, 0.267, 0.254)
Tb (0.863, 0.609, 0.760)
Sm (0.780, 0.013, 0.746)

Values from the calculation:
density of states at the Fermi level: 38.84 states/eV/cell


Which one is most stable, and which one is least stable? x) is the most stable of them, while w) is the least stable.


w) Tb2SmDy4 | PBE | optimized geometry

Cell: 6.058 6.592 11.675 Å, 90.00 106.03 90.00°
Element x y z (fractional)
Dy (0.856, 0.250, 0.575)
Dy (0.637, 0.007, 0.289)
Dy (0.985, 0.750, 0.838)
Tb (0.290, 0.250, 0.448)
Tb (0.392, 0.250, 0.993)
Dy (0.637, 0.493, 0.289)
Dy (0.144, 0.750, 0.425)
Dy (0.015, 0.250, 0.162)
Tb (0.710, 0.750, 0.552)
Dy (0.363, 0.993, 0.711)
Tb (0.608, 0.750, 0.007)
Dy (0.363, 0.507, 0.711)
Sm (0.173, 0.750, 0.140)
Sm (0.827, 0.250, 0.860)

Values from the calculation:
density of states at the Fermi level: 23.73 states/eV/cell


x) Tb2SmDy4 | PBE | optimized geometry

Cell: 3.529 9.434 8.536 Å, 121.62 78.09 111.95°
Element x y z (fractional)
Dy (0.589, 0.294, 0.410)
Sm (0.000, 0.000, 0.000)
Dy (0.411, 0.706, 0.590)
Dy (0.806, 0.163, 0.715)
Dy (0.194, 0.837, 0.285)
Tb (0.640, 0.570, 0.860)
Tb (0.360, 0.430, 0.140)

Values from the calculation:
density of states at the Fermi level: 10.45 states/eV/cell


Which one is most stable, and which one is least stable? x) is the most stable of them, while w) is the least stable.


w) TbSm3Dy5 | PBE | optimized geometry

Cell: 9.516 9.516 11.620 Å, 52.61 52.61 73.62°
Element x y z (fractional)
Sm (0.339, 0.339, 0.640)
Dy (0.257, 0.743, 0.000)
Dy (0.845, 0.344, 0.252)
Dy (0.183, 0.183, 0.040)
Dy (0.817, 0.817, 0.960)
Dy (0.494, 0.494, 0.227)
Sm (0.661, 0.661, 0.360)
Dy (0.506, 0.506, 0.773)
Sm (0.304, 0.304, 0.188)
Tb (0.154, 0.154, 0.598)
Dy (0.656, 0.155, 0.748)
Sm (0.000, 0.000, 0.000)
Dy (0.743, 0.257, 0.000)
Tb (0.846, 0.846, 0.402)
Sm (0.000, 0.000, 0.500)
Dy (0.155, 0.656, 0.748)
Sm (0.696, 0.696, 0.812)
Dy (0.344, 0.845, 0.252)

Values from the calculation:
density of states at the Fermi level: 24.85 states/eV/cell


x) TbSm3Dy5 | PBE | optimized geometry

Cell: 6.710 8.880 11.396 Å, 107.80 90.00 112.20°
Element x y z (fractional)
Tb (0.773, 0.000, 0.750)
Dy (0.680, 0.000, 0.250)
Sm (0.138, 0.525, 0.145)
Dy (0.944, 0.649, 0.628)
Dy (0.389, 0.785, 0.955)
Sm (0.386, 0.525, 0.645)
Sm (0.000, 0.000, 0.500)
Dy (0.320, 0.000, 0.750)
Dy (0.611, 0.215, 0.045)
Dy (0.705, 0.649, 0.128)
Sm (0.862, 0.475, 0.855)
Sm (0.614, 0.475, 0.355)
Sm (0.000, 0.000, 0.000)
Dy (0.295, 0.351, 0.872)
Dy (0.056, 0.351, 0.372)
Tb (0.227, 0.000, 0.250)
Dy (0.604, 0.215, 0.545)
Dy (0.396, 0.785, 0.455)

Values from the calculation:
density of states at the Fermi level: 26.73 states/eV/cell


Which one is most stable, and which one is least stable? x) is the most stable of them, while w) is the least stable.


w) Tb5SmDy5 | PBE | optimized geometry

Cell: 6.941 8.330 9.512 Å, 44.68 89.47 103.71°
Element x y z (fractional)
Dy (0.271, 0.025, 0.322)
Tb (0.500, 0.000, 0.000)
Dy (0.639, 0.478, 0.211)
Tb (0.133, 0.487, 0.155)
Dy (0.361, 0.522, 0.789)
Tb (0.251, 0.073, 0.646)
Sm (0.000, 0.000, 0.000)
Dy (0.729, 0.975, 0.678)
Tb (0.867, 0.513, 0.845)
Tb (0.749, 0.927, 0.354)
Dy (0.000, 0.500, 0.500)

Values from the calculation:
density of states at the Fermi level: 15.38 states/eV/cell


x) Tb5SmDy5 | PBE | optimized geometry

Cell: 6.081 6.081 11.502 Å, 90.00 90.00 120.00°
Element x y z (fractional)
Dy (0.667, 0.333, 0.158)
Tb (0.000, 0.000, 0.264)
Tb (0.832, 0.168, 0.500)
Dy (0.000, 0.000, 0.000)
Tb (0.337, 0.168, 0.500)
Tb (0.000, 0.000, 0.736)
Dy (0.667, 0.333, 0.842)
Sm (0.333, 0.667, 0.000)
Dy (0.333, 0.667, 0.676)
Dy (0.333, 0.667, 0.324)
Tb (0.832, 0.663, 0.500)

Values from the calculation:
density of states at the Fermi level: 18.92 states/eV/cell


Which one is most stable, and which one is least stable? w) is the most stable of them, while x) is the least stable.


w) Tb5SmDy2 | PBE | optimized geometry

Cell: 8.826 16.357 11.215 Å, 90.00 90.00 161.00°
Element x y z (fractional)
Tb (0.514, 0.317, 0.577)
Dy (0.690, 0.576, 0.383)
Tb (0.514, 0.317, 0.923)
Dy (0.690, 0.576, 0.117)
Tb (0.550, 0.315, 0.250)
Sm (0.656, 0.155, 0.250)
Tb (0.450, 0.685, 0.750)
Tb (0.486, 0.683, 0.077)
Dy (0.310, 0.424, 0.883)
Tb (0.379, 0.045, 0.924)
Tb (0.621, 0.955, 0.076)
Tb (0.486, 0.683, 0.423)
Dy (0.310, 0.424, 0.617)
Tb (0.621, 0.955, 0.424)
Tb (0.379, 0.045, 0.576)
Sm (0.344, 0.845, 0.750)

Values from the calculation:
density of states at the Fermi level: 24.97 states/eV/cell


x) Tb5SmDy2 | PBE | optimized geometry

Cell: 5.031 7.134 14.268 Å, 90.00 90.00 90.00°
Element x y z (fractional)
Sm (0.000, 0.000, 0.500)
Tb (0.500, 0.251, 0.375)
Sm (0.000, 0.500, 0.000)
Tb (0.000, 0.500, 0.250)
Tb (0.000, 0.500, 0.500)
Tb (0.500, 0.249, 0.875)
Tb (0.000, 0.000, 0.250)
Dy (0.500, 0.250, 0.625)
Tb (0.000, 0.000, 0.750)
Tb (0.500, 0.751, 0.125)
Dy (0.500, 0.750, 0.875)
Tb (0.000, 0.000, 0.000)
Tb (0.000, 0.500, 0.750)
Tb (0.500, 0.749, 0.625)
Dy (0.500, 0.250, 0.125)
Dy (0.500, 0.750, 0.375)

Values from the calculation:
density of states at the Fermi level: 19.95 states/eV/cell


Which one is most stable, and which one is least stable? x) is the most stable of them, while w) is the least stable.


w) Tb4SmDy3 | PBE | optimized geometry

Cell: 6.294 7.278 11.329 Å, 90.00 90.00 90.00°
Element x y z (fractional)
Tb (0.481, 0.875, 0.249)
Dy (0.148, 0.375, 0.500)
Sm (0.148, 0.375, 0.000)
Dy (0.648, 0.625, 0.000)
Tb (0.981, 0.125, 0.251)
Dy (0.481, 0.375, 0.750)
Tb (0.149, 0.875, 0.500)
Dy (0.981, 0.625, 0.250)
Tb (0.147, 0.875, 0.000)
Sm (0.648, 0.625, 0.500)
Tb (0.649, 0.125, 0.000)
Dy (0.481, 0.375, 0.250)
Dy (0.981, 0.625, 0.750)
Tb (0.647, 0.125, 0.500)
Tb (0.981, 0.125, 0.749)
Tb (0.481, 0.875, 0.751)

Values from the calculation:
density of states at the Fermi level: 26.60 states/eV/cell


x) Tb4SmDy3 | PBE | optimized geometry

Cell: 5.655 3.558 13.362 Å, 89.95 102.22 90.00°
Element x y z (fractional)
Sm (0.500, 0.000, 0.000)
Dy (0.155, 0.000, 0.310)
Tb (0.605, 0.499, 0.209)
Dy (0.000, 0.500, 0.000)
Dy (0.845, 0.000, 0.690)
Tb (0.395, 0.501, 0.791)
Tb (0.724, 0.501, 0.448)
Tb (0.276, 0.499, 0.552)

Values from the calculation:
density of states at the Fermi level: 12.75 states/eV/cell


Which one is most stable, and which one is least stable? w) is the most stable of them, while x) is the least stable.


w) TbSmDyTm | PBE | optimized geometry

Cell: 5.667 5.667 5.667 Å, 60.00 60.00 60.00°
Element x y z (fractional)
Dy (0.000, 0.000, 0.000)
Sm (0.250, 0.250, 0.250)
Tb (0.750, 0.750, 0.750)
Tm (0.500, 0.500, 0.500)

Values from the calculation:
density of states at the Fermi level: 8.50 states/eV/cell


x) TbSmDyTm | PBE | optimized geometry

Cell: 3.433 6.699 5.609 Å, 90.01 90.00 90.00°
Element x y z (fractional)
Dy (0.000, 0.194, 0.016)
Tm (0.000, 0.455, 0.516)
Sm (0.000, 0.940, 0.516)
Tb (0.500, 0.690, 0.016)

Values from the calculation:
density of states at the Fermi level: 7.56 states/eV/cell


Which one is most stable, and which one is least stable? w) is the most stable of them, while x) is the least stable.